No. 1
Material: Tb3PrTm2
Method: DFT, GGA-PBE
State: optimized geometry

a b c (Å): 7.174 10.189 7.169
angles (deg): 79.96 119.87 121.81
Atoms (fractional coordinates):
Tb (0.252, 0.001, 0.751)
Tb (0.748, 0.999, 0.249)
Tb (0.803, 0.663, 0.861)
Tb (0.196, 0.336, 0.639)
Tb (0.804, 0.664, 0.361)
Tb (0.197, 0.337, 0.139)
Pr (0.254, 0.002, 0.251)
Pr (0.746, 0.998, 0.749)
Tm (0.301, 0.663, 0.359)
Tm (0.302, 0.664, 0.860)
Tm (0.698, 0.336, 0.140)
Tm (0.699, 0.337, 0.641)

VASP energy   -55.26 eV for the cell shown
SG   No. 2
ΔE to the lowest computed polymorph   0.000 eV per atom

---

No. 2
Material: Pm2Ga3GeRh4
Method: DFT, GGA-PBE
State: optimized geometry

a b c (Å): 4.345 4.345 9.854
angles (deg): 90.00 90.00 90.00
Atoms (fractional coordinates):
Pm (0.500, 0.000, 0.241)
Pm (0.000, 0.500, 0.759)
Ga (0.000, 0.000, 0.500)
Ga (0.500, 0.000, 0.874)
Ga (0.000, 0.500, 0.126)
Ge (0.500, 0.500, 0.500)
Rh (0.500, 0.500, 0.000)
Rh (0.000, 0.000, 0.000)
Rh (0.500, 0.000, 0.624)
Rh (0.000, 0.500, 0.376)

VASP energy   -60.69 eV for the cell shown
SG   No. 115

---

No. 3
Material: Ce2Pt9Rh
Method: DFT, GGA-PBE
State: optimized geometry

a b c (Å): 5.363 5.363 9.231
angles (deg): 73.11 73.11 60.00
Atoms (fractional coordinates):
Ce (0.799, 0.799, 0.603)
Ce (0.201, 0.201, 0.397)
Pt (0.681, 0.681, 0.958)
Pt (0.319, 0.319, 0.042)
Pt (0.500, 0.500, 0.500)
Pt (0.248, 0.248, 0.755)
Pt (0.748, 0.248, 0.755)
Pt (0.248, 0.748, 0.755)
Pt (0.752, 0.752, 0.245)
Pt (0.752, 0.252, 0.245)
Pt (0.252, 0.752, 0.245)
Rh (0.000, 0.000, 0.000)

VASP energy   -79.82 eV for the cell shown
SG   No. 166
ΔE to the lowest computed polymorph   0.092 eV per atom

---

No. 4
Material: Pm6Tl2N
Method: DFT, GGA-PBE
State: optimized geometry

a b c (Å): 3.582 9.445 8.911
angles (deg): 122.00 90.00 90.00
Atoms (fractional coordinates):
Pm (0.500, 0.599, 0.000)
Pm (0.500, 0.407, 0.436)
Pm (0.500, 0.971, 0.564)
Pm (0.000, 0.223, 0.000)
Pm (0.000, 0.798, 0.786)
Pm (0.000, 0.012, 0.214)
Tl (0.000, 0.302, 0.671)
Tl (0.000, 0.631, 0.329)
N (0.500, 0.058, 0.000)

VASP energy   -44.34 eV for the cell shown
Uncorrected formation energy   -29.8 kJ/mol of atoms
SG   No. 38
ΔE to the lowest computed polymorph   0.215 eV per atom

---

Which of these has the lowest VASP energy?
Ce2Pt9Rh

---

Copy entry 1 word for word.
Material: Tb3PrTm2
Method: DFT, GGA-PBE
State: optimized geometry

a b c (Å): 7.174 10.189 7.169
angles (deg): 79.96 119.87 121.81
Atoms (fractional coordinates):
Tb (0.252, 0.001, 0.751)
Tb (0.748, 0.999, 0.249)
Tb (0.803, 0.663, 0.861)
Tb (0.196, 0.336, 0.639)
Tb (0.804, 0.664, 0.361)
Tb (0.197, 0.337, 0.139)
Pr (0.254, 0.002, 0.251)
Pr (0.746, 0.998, 0.749)
Tm (0.301, 0.663, 0.359)
Tm (0.302, 0.664, 0.860)
Tm (0.698, 0.336, 0.140)
Tm (0.699, 0.337, 0.641)

VASP energy   -55.26 eV for the cell shown
SG   No. 2
ΔE to the lowest computed polymorph   0.000 eV per atom

---

Please write out number 1 again, unchanged.
Material: Tb3PrTm2
Method: DFT, GGA-PBE
State: optimized geometry

a b c (Å): 7.174 10.189 7.169
angles (deg): 79.96 119.87 121.81
Atoms (fractional coordinates):
Tb (0.252, 0.001, 0.751)
Tb (0.748, 0.999, 0.249)
Tb (0.803, 0.663, 0.861)
Tb (0.196, 0.336, 0.639)
Tb (0.804, 0.664, 0.361)
Tb (0.197, 0.337, 0.139)
Pr (0.254, 0.002, 0.251)
Pr (0.746, 0.998, 0.749)
Tm (0.301, 0.663, 0.359)
Tm (0.302, 0.664, 0.860)
Tm (0.698, 0.336, 0.140)
Tm (0.699, 0.337, 0.641)

VASP energy   -55.26 eV for the cell shown
SG   No. 2
ΔE to the lowest computed polymorph   0.000 eV per atom